The following is a DFT calculation (PBE) of a geometry-optimized Nb2Ga2PdPt structure.

a b c (Å): 7.412 4.279 14.192
angles (deg): 90.00 100.02 90.00
Space group Pm (No. 6)
Inequivalent atoms, fractional coordinates:
Nb: 0.000 0.000 0.000 x1
Nb: 0.000 0.500 0.500 x1
Nb: 0.249 0.500 0.250 x1
Nb: 0.250 0.000 0.750 x1
Nb: 0.499 0.500 0.000 x1
Nb: 0.500 0.000 0.500 x1
Nb: 0.750 0.000 0.250 x1
Nb: 0.750 0.500 0.750 x1
Ga: 0.122 0.500 0.874 x1
Ga: 0.125 0.000 0.375 x1
Ga: 0.375 0.500 0.627 x1
Ga: 0.378 0.000 0.126 x1
Ga: 0.624 0.500 0.374 x1
Ga: 0.627 0.000 0.874 x1
Ga: 0.872 0.500 0.124 x1
Ga: 0.875 0.000 0.627 x1
Pd: 0.062 0.500 0.688 x1
Pd: 0.562 0.000 0.688 x1
Pd: 0.562 0.500 0.187 x1
Pd: 0.812 0.500 0.937 x1
Pt: 0.062 0.000 0.187 x1
Pt: 0.312 0.000 0.937 x1
Pt: 0.312 0.500 0.438 x1
Pt: 0.812 0.000 0.438 x1

Calculated values
As for the calculated total energy: -160.5 eV for the cell shown.